Entry from the Alexandria database: a geometry-optimized Ba2Mg structure (PBE-GGA).

a = 8.0877 Å, b = 6.1774 Å, c = 11.5352 Å
α = 90.00°, β = 90.00°, γ = 90.00°
Last column: nearest neighbours and their distance in Å.
Space group Pnma (No. 62)
One atom of each set of equivalent atoms:
Ba (0.0378, 0.2500, 0.2046)  3 Mg 3.83-3.84, 4 Ba 4.18
Ba (0.1752, 0.2500, 0.5673)  4 Mg 3.77-3.84, 2 Ba 4.18
Mg (0.2041, 0.2500, 0.8932)  7 Ba 3.77-3.84

Properties
Total energy: -1.8277 eV/atom
Energy of formation from the pure elements: -0.04 eV/f.u.
Crystal system: orthorhombic



Entry from the Alexandria database: a geometry-optimized Y3FeRu structure (PBE-GGA).

a = 5.2878 Å, b = 5.2878 Å, c = 5.2878 Å
α = 90.00°, β = 90.00°, γ = 90.00°
Last column: nearest neighbours and their distance in Å.
Space group Pm-3m (No. 221)
One atom of each set of equivalent atoms:
Y (0.0000, 0.0000, 0.5000)  2 Ru 2.64
Fe (0.5000, 0.5000, 0.5000)  12 Y 3.74
Ru (0.0000, 0.0000, 0.0000)  6 Y 2.64

Properties
Total energy: -7.0315 eV/atom
Energy of formation from the pure elements: 1.97 eV/f.u.
Crystal system: cubic